GGA-PBE Hf2Ti4Pb3, optimized geometry; electronic total energy = -6.93 eV/atom; calculated density = 10.42 g/cm3
1.0
5.179 -2.071 0.000
5.179 2.071 0.000
-3.544 0.000 8.695
Hf Ti Pb
2 4 3
Direct
0.167 0.167 0.224
0.833 0.833 0.776
0.169 0.169 0.897
0.495 0.495 0.320
0.505 0.505 0.680
0.831 0.831 0.103
0.157 0.157 0.561
0.500 0.500 0.000
0.843 0.843 0.439